! Ac5Ir2Ru | Alexandria | GGA-PBE | relaxed; values from VASP
&SYSTEM
  ibrav = 0, nat = 16, ntyp = 3
/
ATOMIC_SPECIES
Ac 227.00 Ac.upf
Ir 192.22 Ir.upf
Ru 101.07 Ru.upf
CELL_PARAMETERS angstrom
-3.042 -0.891 4.976
4.501 -5.762 -1.778
10.760 6.042 7.660
ATOMIC_POSITIONS crystal
Ac 0.259 0.517 0.750
Ac 0.949 0.897 0.880
Ac 0.051 0.103 0.380
Ac 0.327 0.654 0.068
Ac 0.051 0.103 0.120
Ac 0.949 0.897 0.620
Ac 0.327 0.654 0.432
Ac 0.673 0.346 0.568
Ac 0.673 0.346 0.932
Ac 0.741 0.483 0.250
Ir 0.852 0.703 0.062
Ir 0.148 0.297 0.938
Ir 0.148 0.297 0.562
Ir 0.852 0.703 0.438
Ru 0.801 0.602 0.750
Ru 0.199 0.398 0.250
! * calculated formation energy: -3.21 eV/f.u.
! * DFT total energy: -101.51 eV for the cell shown

=====

! Ac6IrRu2 | Alexandria | GGA-PBE | relaxed; values from VASP
&SYSTEM
  ibrav = 0, nat = 9, ntyp = 3
/
ATOMIC_SPECIES
Ac 227.00 Ac.upf
Ir 192.22 Ir.upf
Ru 101.07 Ru.upf
CELL_PARAMETERS angstrom
-2.944 0.100 -3.238
6.095 -0.802 -5.566
-0.303 -8.861 2.963
ATOMIC_POSITIONS crystal
Ac 0.330 0.425 0.660
Ac 0.004 0.244 0.009
Ac 0.335 0.905 0.670
Ac 0.665 0.095 0.330
Ac 0.670 0.575 0.340
Ac 0.996 0.756 0.991
Ir 0.500 0.000 0.000
Ru 0.834 0.668 0.669
Ru 0.166 0.332 0.331
! * ΔE to the lowest computed polymorph: 0 meV per atom
! * calculated formation energy: -2.89 eV/f.u.
! * DFT total energy: -54.96 eV for the cell shown

=====

! AcIrRu | Alexandria | GGA-PBE | relaxed; values from VASP
&SYSTEM
  ibrav = 0, nat = 3, ntyp = 3
/
ATOMIC_SPECIES
Ru 101.07 Ru.upf
Ac 227.00 Ac.upf
Ir 192.22 Ir.upf
CELL_PARAMETERS angstrom
-1.656 0.111 4.250
0.681 -4.229 0.375
3.079 2.782 1.128
ATOMIC_POSITIONS crystal
Ru 0.167 0.667 0.333
Ac 0.667 0.333 0.667
Ir 0.167 0.000 0.000
! * ΔE to the lowest computed polymorph: 0 meV per atom
! * calculated formation energy: -0.66 eV/f.u.
! * DFT total energy: -22.90 eV for the cell shown